An optimized crystal structure of ZrNi, computed with PBE.

a = 4.0128 Å, b = 4.0128 Å, c = 15.6275 Å
α = 90.00°, β = 90.00°, γ = 120.00°
Space group R-3m (No. 166, hexagonal axes)
Symmetry-distinct sites (fractional):
Zr1 0.0000 0.0000 0.0953 [6 per cell]
Ni1 0.0000 0.0000 0.3238 [6 per cell]

Values from the calculation:
Magnetic moment, μB per formula unit: 0.00
ρ, Mg/m³: 6.9
Energy, eV per atom: -7.245
Crystal system: trigonal
E_form, eV/f.u.: -0.16